Record 1
The following is a PBE calculation of a relaxed structure of BeReRh2, from Alexandria.

POSCAR file:
```
BeReRh2
1.0
2.730 0.000 0.000
0.000 3.676 0.000
-0.041 0.000 5.273
Be Re Rh
1 1 2
direct
0.000 0.000 0.000
0.000 0.000 0.500
0.496 0.500 0.242
0.504 0.500 0.758
```

## Properties
DOS(E_F) in states/eV/f.u.: 2.52
Formation energy from the elements in meV/atom: -145.2
Theoretical density in Mg/m³: 12.6
SG: P2/m, No. 10

***

Record 2
The following is a PBE calculation of a relaxed structure of Be2ReRh, from Alexandria.

POSCAR file:
```
Be2ReRh
1.0
3.295 0.000 0.000
0.000 3.295 0.000
0.000 0.000 8.474
Be Re Rh
4 2 2
direct
0.000 0.000 0.000
0.000 0.500 0.250
0.500 0.000 0.750
0.500 0.500 0.500
0.000 0.500 0.750
0.500 0.000 0.250
0.000 0.000 0.500
0.500 0.500 0.000
```

## Properties
DOS(E_F) in states/eV/f.u.: 1.90
Formation energy from the elements in meV/atom: -51.4
Theoretical density in Mg/m³: 11.1
SG: I-4m2, No. 119